## Li3Ac2ZnIn4 (PBE)

Data for crystalline Li3Ac2ZnIn4 at its relaxed geometry.

Raw total energy in eV per cell: -29.62
SG: No. 115
DFT formation energy in eV/atom: -0.34

a b c (Å): 4.7640 4.7640 11.0307
angles (deg): 90.00 90.00 90.00
Atoms (fractional coordinates):
Li 0.0000 0.0000 0.5000
Li 0.5000 0.0000 0.8715
Li 0.0000 0.5000 0.1285
Ac 0.5000 0.0000 0.2574
Ac 0.0000 0.5000 0.7426
Zn 0.5000 0.5000 0.5000
In 0.5000 0.5000 0.0000
In 0.0000 0.0000 0.0000
In 0.5000 0.0000 0.6283
In 0.0000 0.5000 0.3717

=====

## LiAcZnIn2 (PBE)

Data for crystalline LiAcZnIn2 at its relaxed geometry.

Raw total energy in eV per cell: -14.49
SG: No. 119
DFT formation energy in eV/atom: -0.34

a b c (Å): 4.7116 4.7116 6.5720
angles (deg): 111.01 111.01 90.00
Atoms (fractional coordinates):
Li 0.7500 0.2500 0.5000
Ac 0.0000 0.0000 0.0000
Zn 0.2500 0.7500 0.5000
In 0.6264 0.6264 0.2528
In 0.3736 0.3736 0.7472

=====

## Li4Ac2ZnIn3 (PBE)

Data for crystalline Li4Ac2ZnIn3 at its relaxed geometry.

Raw total energy in eV per cell: -27.92
SG: No. 115
DFT formation energy in eV/atom: -0.26

a b c (Å): 4.9402 4.9402 10.1115
angles (deg): 90.00 90.00 90.00
Atoms (fractional coordinates):
Li 0.5000 0.5000 0.0000
Li 0.0000 0.0000 0.0000
Li 0.5000 0.0000 0.6128
Li 0.0000 0.5000 0.3872
Ac 0.5000 0.0000 0.2514
Ac 0.0000 0.5000 0.7486
Zn 0.5000 0.5000 0.5000
In 0.0000 0.0000 0.5000
In 0.5000 0.0000 0.8751
In 0.0000 0.5000 0.1249

=====

## LiAc2ZnIn6 (PBE)

Data for crystalline LiAc2ZnIn6 at its relaxed geometry.

Raw total energy in eV per cell: -29.60
SG: No. 12
DFT formation energy in eV/atom: -0.18

a b c (Å): 7.3491 7.3491 7.3394
angles (deg): 60.05 60.06 89.95
Atoms (fractional coordinates):
Li 0.5000 0.5000 0.0000
Ac 0.2389 0.7611 0.5000
Ac 0.7611 0.2389 0.5000
Zn 0.0000 0.0000 0.0000
In 0.2542 0.7458 0.0000
In 0.7345 0.7345 0.0230
In 0.2665 0.2665 0.4921
In 0.7458 0.2542 0.0000
In 0.2655 0.2655 0.9770
In 0.7335 0.7335 0.5079

=====

## Li2AcZnIn4 (PBE)

Data for crystalline Li2AcZnIn4 at its relaxed geometry.

Raw total energy in eV per cell: -22.17
SG: No. 166
DFT formation energy in eV/atom: -0.25

a b c (Å): 4.8249 4.8249 10.0750
angles (deg): 76.15 76.15 60.00
Atoms (fractional coordinates):
Li 0.7673 0.7673 0.6982
Li 0.2327 0.2327 0.3018
Ac 0.0000 0.0000 0.0000
Zn 0.5000 0.5000 0.5000
In 0.4023 0.4023 0.7931
In 0.8737 0.8737 0.3789
In 0.1263 0.1263 0.6211
In 0.5977 0.5977 0.2069

=====

## LiAcZnIn (PBE)

Data for crystalline LiAcZnIn at its relaxed geometry.

Raw total energy in eV per cell: -11.18
Excess energy over the best structure of this formula in the dataset in eV per atom: 0.000
SG: No. 160
DFT formation energy in eV/atom: -0.29

a b c (Å): 4.6957 4.6989 5.9323
angles (deg): 113.31 90.00 119.98
Atoms (fractional coordinates):
Li 0.8230 0.6461 0.1113
Ac 0.6190 0.2380 0.4992
Zn 0.4073 0.8145 0.8634
In 0.1170 0.2340 0.9935

=====

## Li4AcZnIn2 (PBE)

Data for crystalline Li4AcZnIn2 at its relaxed geometry.

Raw total energy in eV per cell: -20.15
SG: No. 166
DFT formation energy in eV/atom: -0.20

a b c (Å): 4.6781 4.6781 9.7542
angles (deg): 76.13 76.13 60.00
Atoms (fractional coordinates):
Li 0.4114 0.4114 0.7657
Li 0.8624 0.8624 0.4126
Li 0.1376 0.1376 0.5874
Li 0.5886 0.5886 0.2343
Ac 0.0000 0.0000 0.0000
Zn 0.5000 0.5000 0.5000
In 0.7551 0.7551 0.7346
In 0.2449 0.2449 0.2654

=====

## AcLuIn2 (PBE)

Data for crystalline AcLuIn2 at its relaxed geometry.

Raw total energy in eV per cell: -15.75
SG: No. 123
DFT formation energy in eV/atom: -0.41

a b c (Å): 3.8590 3.8590 7.9595
angles (deg): 90.00 90.00 90.00
Atoms (fractional coordinates):
Ac 0.5000 0.5000 0.5000
Lu 0.5000 0.5000 0.0000
In 0.0000 0.0000 0.7853
In 0.0000 0.0000 0.2147

=====

## AcLuIn (PBE)

Data for crystalline AcLuIn at its relaxed geometry.

Raw total energy in eV per cell: -12.07
Excess energy over the best structure of this formula in the dataset in eV per atom: 0.000
SG: No. 107
DFT formation energy in eV/atom: -0.24

a b c (Å): 3.7564 3.7564 7.3940
angles (deg): 104.72 104.72 90.00
Atoms (fractional coordinates):
Ac 0.9570 0.9570 0.9141
Lu 0.2612 0.2612 0.5224
In 0.6318 0.6318 0.2636

=====

## AcLu2In (PBE)

Data for crystalline AcLu2In at its relaxed geometry.

Raw total energy in eV per cell: -16.44
Excess energy over the best structure of this formula in the dataset in eV per atom: 0.046
SG: No. 123
DFT formation energy in eV/atom: -0.14

a b c (Å): 4.9762 4.9905 4.9905
angles (deg): 90.00 90.00 90.00
Each line ends with the local moment (μB).
Atoms (fractional coordinates):
Ac 0.5000 0.5000 0.5000  0.03
Lu 0.0000 0.0000 0.5000  0.05
Lu 0.0000 0.5000 0.0000  0.05
In 0.5000 0.0000 0.0000  0.00